Rb3Co2F8 | the Alexandria database | PBE with a Hubbard U | relaxed; total magnetization = 7.0 μB per cell; total energy = -4.5267 eV per atom
1.0
3.1322 1.8083 7.4508
-3.1322 1.8083 7.4508
0.0000 -3.6167 7.4508
Rb Co F
3 2 8
direct
0.0000 0.0000 0.0000
0.2006 0.2006 0.2006
0.7994 0.7994 0.7994
0.4064 0.4064 0.4064
0.5936 0.5936 0.5936
0.2410 0.7277 0.7277
0.2723 0.2723 0.7590
0.2723 0.7590 0.2723
0.3233 0.3233 0.3233
0.6767 0.6767 0.6767
0.7277 0.2410 0.7277
0.7277 0.7277 0.2410
0.7590 0.2723 0.2723